No. 1
Compound: Cu3Ag5
Source: OQMD
Functional: PBE
Structure: optimized geometry

```
data_Cu3Ag5
_cell_length_a 2.8296
_cell_length_b 2.8296
_cell_length_c 54.6613
_cell_angle_alpha 90.00
_cell_angle_beta 90.00
_cell_angle_gamma 120.00
_space_group_name_H-M_alt 'R -3 m'
_space_group_IT_number 166
_space_group_name_Hall '-R 3 2"'
loop_
_atom_site_label
_atom_site_fract_x
_atom_site_fract_y
_atom_site_fract_z
Cu1 0.0000 0.0000 0.0000
Cu2 0.0000 0.0000 0.2522
Ag1 0.0000 0.0000 0.1214
Ag2 0.0000 0.0000 0.3739
Ag3 0.0000 0.0000 0.5000
```

Summary:
raw total energy = -3.063 eV/atom
formation energy = 0.096 eV/atom

No. 2
Compound: CuAg
Source: OQMD
Functional: PBE
Structure: optimized geometry

```
data_CuAg
_cell_length_a 4.831
_cell_length_b 2.814
_cell_length_c 26.619
_cell_angle_alpha 90.00
_cell_angle_beta 92.98
_cell_angle_gamma 90.00
_space_group_name_H-M_alt 'C 1 m 1'
_space_group_IT_number 8
_space_group_name_Hall 'C -2y'
loop_
_atom_site_label
_atom_site_fract_x
_atom_site_fract_y
_atom_site_fract_z
Cu1 0.000 0.000 0.000
Cu2 0.043 0.000 0.219
Cu3 0.182 0.500 0.073
Cu4 0.228 0.500 0.291
Cu5 0.314 0.000 0.927
Cu6 0.363 0.000 0.146
Ag1 0.030 0.500 0.563
Ag2 0.110 0.500 0.844
Ag3 0.168 0.000 0.376
Ag4 0.207 0.000 0.656
Ag5 0.356 0.500 0.470
Ag6 0.399 0.500 0.750
```

Summary:
raw total energy = -3.183 eV/atom
formation energy = 0.088 eV/atom

No. 3
Compound: CuAg
Source: OQMD
Functional: PBE
Structure: optimized geometry

```
data_CuAg
_cell_length_a 18.207
_cell_length_b 2.841
_cell_length_c 5.846
_cell_angle_alpha 90.00
_cell_angle_beta 99.31
_cell_angle_gamma 90.00
_space_group_name_H-M_alt 'C 1 m 1'
_space_group_IT_number 8
_space_group_name_Hall 'C -2y'
loop_
_atom_site_label
_atom_site_fract_x
_atom_site_fract_y
_atom_site_fract_z
Cu1 0.000 0.000 0.000
Cu2 0.001 0.000 0.548
Cu3 0.200 0.000 0.159
Cu4 0.201 0.000 0.591
Cu5 0.295 0.500 0.416
Ag1 0.092 0.500 0.320
Ag2 0.109 0.500 0.828
Ag3 0.286 0.500 0.924
Ag4 0.396 0.000 0.717
Ag5 0.405 0.000 0.229
```

Summary:
raw total energy = -3.183 eV/atom
formation energy = 0.088 eV/atom

No. 4
Compound: Cu3Ag7
Source: OQMD
Functional: PBE
Structure: optimized geometry

```
data_Cu3Ag7
_cell_length_a 14.403
_cell_length_b 4.014
_cell_length_c 5.710
_cell_angle_alpha 90.00
_cell_angle_beta 99.68
_cell_angle_gamma 90.00
_space_group_name_H-M_alt 'C 1 2/m 1'
_space_group_IT_number 12
_space_group_name_Hall '-C 2y'
loop_
_atom_site_label
_atom_site_fract_x
_atom_site_fract_y
_atom_site_fract_z
Cu1 0.000 0.000 0.000
Cu2 0.098 0.500 0.297
Ag1 0.000 0.000 0.500
Ag2 0.092 0.500 0.808
Ag3 0.193 0.000 0.104
Ag4 0.200 0.000 0.601
```

Summary:
raw total energy = -3.018 eV/atom
formation energy = 0.075 eV/atom

No. 5
Compound: CuAg
Source: OQMD
Functional: PBE
Structure: optimized geometry

```
data_CuAg
_cell_length_a 15.211
_cell_length_b 2.821
_cell_length_c 7.151
_cell_angle_alpha 90.00
_cell_angle_beta 103.18
_cell_angle_gamma 90.00
_space_group_name_H-M_alt 'C 1 m 1'
_space_group_IT_number 8
_space_group_name_Hall 'C -2y'
loop_
_atom_site_label
_atom_site_fract_x
_atom_site_fract_y
_atom_site_fract_z
Cu1 0.000 0.000 0.000
Cu2 0.006 0.000 0.509
Cu3 0.086 0.500 0.800
Cu4 0.180 0.000 0.061
Cu5 0.424 0.000 0.225
Ag1 0.102 0.500 0.298
Ag2 0.200 0.000 0.630
Ag3 0.297 0.500 0.359
Ag4 0.310 0.500 0.952
Ag5 0.400 0.000 0.694
```

Summary:
raw total energy = -3.193 eV/atom
formation energy = 0.077 eV/atom

No. 6
Compound: Cu3Ag4
Source: OQMD
Functional: PBE
Structure: optimized geometry

```
data_Cu3Ag4
_cell_length_a 9.308
_cell_length_b 2.837
_cell_length_c 8.144
_cell_angle_alpha 90.00
_cell_angle_beta 93.24
_cell_angle_gamma 90.00
_space_group_name_H-M_alt 'C 1 2/m 1'
_space_group_IT_number 12
_space_group_name_Hall '-C 2y'
loop_
_atom_site_label
_atom_site_fract_x
_atom_site_fract_y
_atom_site_fract_z
Cu1 0.000 0.000 0.000
Cu2 0.200 0.500 0.881
Ag1 0.086 0.500 0.262
Ag2 0.139 0.000 0.584
```

Summary:
raw total energy = -3.135 eV/atom
formation energy = 0.072 eV/atom

- formation energy of number 4 (Cu3Ag7)?
  0.075 eV/atom

- Among the records above, which one has the lowest raw total energy?
  number 5

- Look up the formation energy of the fourth one.
  0.075 eV/atom